KLaSn2O6, optimized geometry, DFT PBE; space-group type = Fm-3m, No. 225; formation energy without anion corrections = -2011 meV/atom; mass density = 6.17 g cm⁻³
1.0
0.000 4.099 4.099
4.099 0.000 4.099
4.099 4.099 0.000
K La Sn O
1 1 2 6
Direct
0.000 0.000 0.000
0.500 0.500 0.500
0.250 0.250 0.250
0.750 0.750 0.750
0.000 0.000 0.500
0.000 0.500 0.000
0.000 0.500 0.500
0.500 0.000 0.000
0.500 0.000 0.500
0.500 0.500 0.000



KLaSnO3, optimized geometry, DFT PBE; space-group type = P2_1/m, No. 11; formation energy without anion corrections = -2188 meV/atom; mass density = 4.29 g cm⁻³
1.0
7.177 0.000 0.000
0.000 3.618 0.000
-0.632 0.000 10.284
K La Sn O
2 2 2 6
Direct
0.180 0.250 0.258
0.820 0.750 0.742
0.362 0.250 0.616
0.638 0.750 0.384
0.265 0.750 0.902
0.735 0.250 0.098
0.136 0.250 0.802
0.329 0.750 0.464
0.457 0.750 0.762
0.543 0.250 0.238
0.671 0.250 0.536
0.864 0.750 0.198



- Which value of mass density does entry 1 give?
  6.17 g cm⁻³



- The lowest mass density belongs to which entry?
  KLaSnO3



- Look up the mass density of the second one.
  4.29 g cm⁻³